# 1
Computed, not measured: CsAgAs2Se after structural relaxation at the GGA-PBE level of DFT.

Results
volume = 29.57 Å³/atom
total moment = 0.84 μB/cell
uncorrected formation energy = 0.2828 eV per atom
excess energy over the best structure of this formula in the dataset = 0.0 meV per atom

Lattice parameters (Å, degrees): 5.1781 5.1781 5.5143 90.00 90.00 90.00
Last column: nearest neighbours and their distance in Å.
Fractional coordinates of all 5 atoms:
Cs 0.5000 0.5000 0.5000  4 Se 3.66, 8 As 3.78
As 0.0000 0.5000 0.0000  2 Ag 2.59
As 0.5000 0.0000 0.0000  2 Ag 2.59
Se 0.0000 0.0000 0.5000  2 Ag 2.76
Ag 0.0000 0.0000 0.0000  4 As 2.59, 2 Se 2.76

***

# 2
Computed, not measured: CdMoAs2 after structural relaxation at the GGA-PBE level of DFT.

Results
volume = 19.10 Å³/atom
total moment = 0.00 μB/cell
calculated formation energy = 0.216 eV per atom

Lattice parameters (Å, degrees): 3.3604 3.3604 6.7654 90.00 90.00 90.00
Last column: nearest neighbours and their distance in Å.
Fractional coordinates of all 4 atoms:
Mo 0.5000 0.5000 0.8181  5 As 2.55-2.65
As 0.0000 0.0000 0.9537  4 Mo 2.55
As 0.5000 0.5000 0.2102  1 Mo 2.65, 4 As 2.94
Cd 0.0000 0.0000 0.5180  5 As 2.95-3.16, 4 Mo 3.13

***

# 3
Computed, not measured: HoTa2N4 after structural relaxation at the GGA-PBE level of DFT.

Results
volume = 11.79 Å³/atom
total moment = 0.00 μB/cell
uncorrected formation energy = -1.3529 eV per atom

Lattice parameters (Å, degrees): 3.1221 5.3351 10.3621 90.00 90.00 107.01
Last column: nearest neighbours and their distance in Å.
Fractional coordinates of all 14 atoms:
Ho 0.6168 0.2336 0.7500  6 N 2.35-2.41
Ho 0.3832 0.7664 0.2500  6 N 2.35-2.41
Ta 0.1290 0.2580 0.4317  6 N 2.03-2.16
Ta 0.8710 0.7420 0.9317  6 N 2.03-2.16
Ta 0.1290 0.2580 0.0683  6 N 2.03-2.16
Ta 0.8710 0.7420 0.5683  6 N 2.03-2.16
N 0.7686 0.5372 0.1133  3 Ta 2.15-2.16, 2 Ho 2.41
N 0.7686 0.5372 0.3867  3 Ta 2.15-2.16, 2 Ho 2.41
N 0.2314 0.4628 0.8867  3 Ta 2.15-2.16, 2 Ho 2.41
N 0.2314 0.4628 0.6133  3 Ta 2.15-2.16, 2 Ho 2.41
N 0.9450 0.8901 0.7500  2 Ta 2.03
N 0.0550 0.1099 0.2500  2 Ta 2.03
N 0.5000 0.0000 0.0000  4 Ta 2.16
N 0.5000 0.0000 0.5000  4 Ta 2.16

***

# 4
Computed, not measured: LaY2AgIr after structural relaxation at the GGA-PBE level of DFT.

Results
volume = 32.51 Å³/atom
total moment = 0.00 μB/cell
calculated formation energy = -0.256 eV per atom

Lattice parameters (Å, degrees): 5.4277 5.5184 5.4277 90.00 90.00 90.00
Last column: nearest neighbours and their distance in Å.
Fractional coordinates of all 5 atoms:
Y 0.0000 0.0000 0.5000  2 Ir 2.71
Y 0.5000 0.0000 0.0000  2 Ir 2.71
Ir 0.0000 0.0000 0.0000  4 Y 2.71, 2 La 2.76
Ag 0.5000 0.5000 0.5000  4 La 3.84, 8 Y 3.87
La 0.0000 0.5000 0.0000  2 Ir 2.76

***

# 5
Computed, not measured: Ta2TiBe9 after structural relaxation at the GGA-PBE level of DFT.

Results
volume = 10.51 Å³/atom
total moment = 0.01 μB/cell
calculated formation energy = -0.223 eV per atom
excess energy over the best structure of this formula in the dataset = 4.8 meV per atom

Lattice parameters (Å, degrees): 4.5546 4.5546 14.0341 90.00 90.00 120.00
Last column: nearest neighbours and their distance in Å.
Fractional coordinates of all 24 atoms:
Ta 0.3333 0.6667 0.5383  12 Be 2.60-2.68, 3 Ta 2.84
Ta 0.6667 0.3333 0.0383  12 Be 2.60-2.68, 3 Ta 2.84
Ta 0.6667 0.3333 0.4617  12 Be 2.60-2.68, 3 Ta 2.84
Ta 0.3333 0.6667 0.9617  12 Be 2.60-2.68, 3 Ta 2.84
Ti 0.3333 0.6667 0.7500  18 Be 2.63-2.85
Ti 0.6667 0.3333 0.2500  18 Be 2.63-2.85
Be 0.0000 0.0000 0.0000  6 Be 2.23
Be 0.0000 0.0000 0.5000  6 Be 2.23
Be 0.0000 0.0000 0.2500  6 Be 2.18
Be 0.0000 0.0000 0.7500  6 Be 2.18
Be 0.3333 0.6667 0.2500  6 Be 2.15
Be 0.6667 0.3333 0.7500  6 Be 2.15
Be 0.1692 0.3385 0.1273  7 Be 2.15-2.31
Be 0.6615 0.8308 0.1273  7 Be 2.15-2.31
Be 0.1692 0.8308 0.1273  7 Be 2.15-2.31
Be 0.8308 0.6615 0.6273  7 Be 2.15-2.31
Be 0.3385 0.1692 0.6273  7 Be 2.15-2.31
Be 0.8308 0.1692 0.6273  7 Be 2.15-2.31
Be 0.3385 0.1692 0.8727  7 Be 2.15-2.31
Be 0.8308 0.6615 0.8727  7 Be 2.15-2.31
Be 0.8308 0.1692 0.8727  7 Be 2.15-2.31
Be 0.6615 0.8308 0.3727  7 Be 2.15-2.31
Be 0.1692 0.3385 0.3727  7 Be 2.15-2.31
Be 0.1692 0.8308 0.3727  7 Be 2.15-2.31

***

# 6
Computed, not measured: NdZn2Ge after structural relaxation at the GGA-PBE level of DFT.

Results
volume = 22.58 Å³/atom
total moment = 0.00 μB/cell
calculated formation energy = 0.351 eV per atom
excess energy over the best structure of this formula in the dataset = 819.4 meV per atom

Lattice parameters (Å, degrees): 3.1746 3.1746 10.5097 81.31 81.31 60.00
Last column: nearest neighbours and their distance in Å.
Fractional coordinates of all 4 atoms:
Ge 0.5000 0.5000 0.5000  6 Zn 2.82
Nd 0.0000 0.0000 0.0000  2 Zn 3.03, 6 Nd 3.17
Zn 0.0977 0.0977 0.7068  3 Ge 2.82, 1 Nd 3.03
Zn 0.9023 0.9023 0.2932  3 Ge 2.82, 1 Nd 3.03

***

# 7
Computed, not measured: ReSNCl2 after structural relaxation at the GGA-PBE level of DFT.

Results
volume = 14.51 Å³/atom
total moment = 0.00 μB/cell
uncorrected formation energy = 1.9199 eV per atom
excess energy over the best structure of this formula in the dataset = 479.7 meV per atom

Lattice parameters (Å, degrees): 4.0514 4.0514 4.4199 90.00 90.00 90.00
Last column: nearest neighbours and their distance in Å.
Fractional coordinates of all 5 atoms:
Re 0.5000 0.5000 0.5000  4 S 2.86, 8 Cl 3.00
S 0.0000 0.0000 0.5000  2 N 2.21
N 0.0000 0.0000 0.0000  4 Cl 2.03, 2 S 2.21
Cl 0.0000 0.5000 0.0000  2 N 2.03
Cl 0.5000 0.0000 0.0000  2 N 2.03

***

# 8
Computed, not measured: KY2Au after structural relaxation at the GGA-PBE level of DFT.

Results
volume = 34.80 Å³/atom
total moment = 0.00 μB/cell
calculated formation energy = 0.090 eV per atom
excess energy over the best structure of this formula in the dataset = 279.2 meV per atom

Lattice parameters (Å, degrees): 8.9377 8.9377 7.2169 51.74 51.74 90.00
Last column: nearest neighbours and their distance in Å.
Fractional coordinates of all 8 atoms:
Y 0.7016 0.1250 0.2500  2 Au 2.86
Y 0.0484 0.6250 0.2500  2 Au 2.86
Y 0.3750 0.2984 0.7500  2 Au 2.86
Y 0.8750 0.9516 0.7500  2 Au 2.86
K 0.5000 0.5000 0.0000  2 Au 3.48, 8 Y 3.77-3.78
K 0.2500 0.7500 0.5000  2 Au 3.48, 8 Y 3.77-3.78
Au 0.0000 0.0000 0.0000  4 Y 2.86
Au 0.7500 0.2500 0.5000  4 Y 2.86